Model a:
Below is an optimized crystal structure of Tb5Er4In, with properties calculated at the PBE-GGA level.

Unit cell a=7.996 b=7.996 c=7.996 alpha=97.53 beta=97.53 gamma=137.54
Element x y z (fractional)
Tb (0.000, 0.000, 0.000)
Tb (0.099, 0.099, 0.627)
Tb (0.099, 0.472, 0.000)
Tb (0.472, 0.099, 0.000)
Tb (0.472, 0.472, 0.373)
Er (0.107, 0.791, 0.317)
Er (0.474, 0.791, 0.683)
Er (0.791, 0.107, 0.317)
Er (0.791, 0.474, 0.683)
In (0.518, 0.518, 0.000)

Summary:
**Magnetization**: 0.0000 μB per atom
**Symmetry**: I4mm
**Fermi-level density of states**: 13.37 states/eV per cell
**Density**: 8.15 g cm⁻³

Model b:
Below is an optimized crystal structure of Tb5Er4In, with properties calculated at the PBE-GGA level.

Unit cell a=3.539 b=3.539 c=24.349 alpha=90.00 beta=90.00 gamma=90.00
Element x y z (fractional)
Tb (0.000, 0.000, 0.000)
Tb (0.000, 0.000, 0.205)
Tb (0.000, 0.000, 0.412)
Tb (0.000, 0.000, 0.588)
Tb (0.000, 0.000, 0.795)
Er (0.500, 0.500, 0.103)
Er (0.500, 0.500, 0.308)
Er (0.500, 0.500, 0.692)
Er (0.500, 0.500, 0.897)
In (0.500, 0.500, 0.500)

Summary:
**Magnetization**: 0.0000 μB per atom
**Symmetry**: P4/mmm
**Fermi-level density of states**: 13.13 states/eV per cell
**Density**: 8.59 g cm⁻³

Most stable structure - model b; separation to the second - 216 meV per atom.

Model a:
Below is an optimized crystal structure of TbErZnIn, with properties calculated at the PBE-GGA level.

Unit cell a=3.631 b=3.631 c=7.422 alpha=90.00 beta=90.00 gamma=90.00
Element x y z (fractional)
Tb (0.000, 0.000, 0.000)
Er (0.000, 0.000, 0.539)
Zn (0.500, 0.500, 0.763)
In (0.500, 0.500, 0.274)

Summary:
**Magnetization**: 0.0000 μB per atom
**Symmetry**: P4mm
**Fermi-level density of states**: 3.28 states/eV per cell
**Density**: 8.59 g cm⁻³

Model b:
Below is an optimized crystal structure of TbErZnIn, with properties calculated at the PBE-GGA level.

Unit cell a=5.187 b=5.187 c=5.187 alpha=60.00 beta=60.00 gamma=60.00
Element x y z (fractional)
Tb (0.000, 0.000, 0.000)
Er (0.500, 0.500, 0.500)
Zn (0.750, 0.750, 0.750)
In (0.250, 0.250, 0.250)

Summary:
**Magnetization**: 0.0000 μB per atom
**Symmetry**: F-43m
**Fermi-level density of states**: 3.62 states/eV per cell
**Density**: 8.52 g cm⁻³

Most stable structure - model a; separation to the second - 22 meV per atom.

Model a:
Below is an optimized crystal structure of Er8InTc2, with properties calculated at the PBE-GGA level.

Unit cell a=7.852 b=7.852 c=5.395 alpha=97.81 beta=97.81 gamma=112.07
Element x y z (fractional)
Er (0.061, 0.330, 0.578)
Er (0.247, 0.753, 0.000)
Er (0.330, 0.061, 0.578)
Er (0.383, 0.383, 0.196)
Er (0.617, 0.617, 0.804)
Er (0.670, 0.939, 0.422)
Er (0.753, 0.247, 0.000)
Er (0.939, 0.670, 0.422)
In (0.000, 0.000, 0.000)
Tc (0.318, 0.682, 0.500)
Tc (0.682, 0.318, 0.500)

Summary:
**Magnetization**: 0.0000 μB per atom
**Symmetry**: C2/m
**Fermi-level density of states**: 8.76 states/eV per cell
**Density**: 9.16 g cm⁻³

Model b:
Below is an optimized crystal structure of Er8InTc2, with properties calculated at the PBE-GGA level.

Unit cell a=8.937 b=8.937 c=5.289 alpha=107.19 beta=107.19 gamma=121.92
Element x y z (fractional)
Er (0.000, 0.000, 0.000)
Er (0.253, 0.913, 0.582)
Er (0.335, 0.554, 0.444)
Er (0.407, 0.824, 0.114)
Er (0.554, 0.335, 0.444)
Er (0.732, 0.732, 0.233)
Er (0.824, 0.407, 0.114)
Er (0.913, 0.253, 0.582)
In (0.296, 0.296, 0.796)
Tc (0.649, 0.978, 0.811)
Tc (0.978, 0.649, 0.811)

Summary:
**Magnetization**: 0.0000 μB per atom
**Symmetry**: Cm
**Fermi-level density of states**: 6.69 states/eV per cell
**Density**: 9.62 g cm⁻³

Most stable structure - model a; separation to the second - 6 meV per atom.

Model a:
Below is an optimized crystal structure of ErTh3In4, with properties calculated at the PBE-GGA level.

Unit cell a=9.714 b=6.838 c=6.799 alpha=90.00 beta=90.00 gamma=90.00
Element x y z (fractional)
Er (0.000, 0.000, 0.000)
Er (0.500, 0.000, 0.500)
Th (0.000, 0.500, 0.999)
Th (0.250, 0.263, 0.250)
Th (0.250, 0.737, 0.750)
Th (0.500, 0.500, 0.499)
Th (0.750, 0.263, 0.250)
Th (0.750, 0.737, 0.750)
In (0.000, 0.000, 0.500)
In (0.000, 0.501, 0.499)
In (0.250, 0.238, 0.750)
In (0.250, 0.762, 0.250)
In (0.500, 0.000, 0.000)
In (0.500, 0.499, 0.999)
In (0.750, 0.238, 0.750)
In (0.750, 0.762, 0.250)

Summary:
**Magnetization**: 0.0000 μB per atom
**Symmetry**: Pmn2_1
**Fermi-level density of states**: 17.87 states/eV per cell
**Density**: 9.73 g cm⁻³

Model b:
Below is an optimized crystal structure of ErTh3In4, with properties calculated at the PBE-GGA level.

Unit cell a=3.328 b=5.852 c=11.678 alpha=90.00 beta=90.00 gamma=90.00
Element x y z (fractional)
Er (0.000, 0.000, 0.000)
Th (0.000, 0.000, 0.500)
Th (0.000, 0.500, 0.250)
Th (0.000, 0.500, 0.750)
In (0.500, 0.000, 0.242)
In (0.500, 0.000, 0.758)
In (0.500, 0.500, 0.000)
In (0.500, 0.500, 0.500)

Summary:
**Magnetization**: 0.0442 μB per atom
**Symmetry**: Pmmm
**Fermi-level density of states**: 7.44 states/eV per cell
**Density**: 9.66 g cm⁻³

Most stable structure - model b; separation to the second - 26 meV per atom.